one | Here is Tc2PdRu2 after structural relaxation from the Alexandria database. Energies are from PBE-GGA.

The magnetization is 0.0 μB/cell. Its crystal system is tetragonal. The value obtained for the density of states at the Fermi level is 0.82 states/eV per atom.

Cell lengths 7.423, 7.423, 2.750 Å; angles 90.00, 90.00, 90.00 degrees
Sites, in units of the cell vectors:
Tc  0.167  0.333  0.000
Tc  0.333  0.833  0.000
Tc  0.667  0.167  0.000
Tc  0.833  0.667  0.000
Pd  0.000  0.000  0.500
Pd  0.500  0.500  0.500
Ru  0.127  0.627  0.500
Ru  0.373  0.127  0.500
Ru  0.627  0.873  0.500
Ru  0.873  0.373  0.500

---

two | Here is Tc2PdRu2 after structural relaxation from the Alexandria database. Energies are from PBE-GGA.

The magnetization is 0.0 μB/cell. Its crystal system is tetragonal. The value obtained for the density of states at the Fermi level is 0.77 states/eV per atom.

Cell lengths 7.454, 7.454, 2.743 Å; angles 90.00, 90.00, 90.00 degrees
Sites, in units of the cell vectors:
Tc  0.123  0.377  0.000
Tc  0.377  0.877  0.000
Tc  0.623  0.123  0.000
Tc  0.877  0.623  0.000
Pd  0.000  0.000  0.000
Pd  0.500  0.500  0.000
Ru  0.168  0.668  0.500
Ru  0.332  0.168  0.500
Ru  0.668  0.832  0.500
Ru  0.832  0.332  0.500

---

Name the least stable of them. two.